The following is a DFT calculation (GGA-PBE) of a geometry-optimized YNi5B2 structure.

Computed properties:
The density of states at the Fermi level comes out at 4.53 states/eV/f.u.

Geometry as CIF:
```
data_YNi5B2
_cell_length_a 3.4831
_cell_length_b 5.5026
_cell_length_c 5.5026
_cell_angle_alpha 68.06
_cell_angle_beta 71.55
_cell_angle_gamma 71.55
_symmetry_space_group_name_H-M 'P 1'
_symmetry_Int_Tables_number 1
loop_
_symmetry_equiv_pos_as_xyz
'x,y,z'
loop_
_atom_site_label
_atom_site_fract_x
_atom_site_fract_y
_atom_site_fract_z
B1 0.2380 0.2620 0.2620
B2 0.7620 0.7380 0.7380
Y1 0.0000 0.0000 0.0000
Ni1 0.3407 0.8510 0.4676
Ni2 0.6593 0.1490 0.5324
Ni3 0.6593 0.5324 0.1490
Ni4 0.0000 0.5000 0.5000
Ni5 0.3407 0.4676 0.8510
```

***

The following is a DFT calculation (GGA-PBE) of a geometry-optimized YNi4B2 structure.

Computed properties:
The density of states at the Fermi level comes out at 3.97 states/eV/f.u.

Geometry as CIF:
```
data_YNi4B2
_cell_length_a 5.0010
_cell_length_b 4.3606
_cell_length_c 5.0010
_cell_angle_alpha 115.81
_cell_angle_beta 119.94
_cell_angle_gamma 64.19
_symmetry_space_group_name_H-M 'P 1'
_symmetry_Int_Tables_number 1
loop_
_symmetry_equiv_pos_as_xyz
'x,y,z'
loop_
_atom_site_label
_atom_site_fract_x
_atom_site_fract_y
_atom_site_fract_z
Ni1 0.4209 0.3345 0.0905
Ni2 0.0905 0.6655 0.4209
Ni3 0.9095 0.3345 0.5791
Ni4 0.5791 0.6655 0.9095
B1 0.4991 0.2157 0.5009
B2 0.5009 0.7843 0.4991
Y1 0.0000 0.0000 0.0000
```

***

The following is a DFT calculation (GGA-PBE) of a geometry-optimized YNi2B2 structure.

Computed properties:
The density of states at the Fermi level comes out at 1.76 states/eV/f.u.

Geometry as CIF:
```
data_YNi2B2
_cell_length_a 3.3932
_cell_length_b 3.7475
_cell_length_c 9.3671
_cell_angle_alpha 101.54
_cell_angle_beta 100.44
_cell_angle_gamma 90.00
_symmetry_space_group_name_H-M 'P 1'
_symmetry_Int_Tables_number 1
loop_
_symmetry_equiv_pos_as_xyz
'x,y,z'
loop_
_atom_site_label
_atom_site_fract_x
_atom_site_fract_y
_atom_site_fract_z
B1 0.6188 0.8688 0.2376
B2 0.3812 0.1312 0.7624
B3 0.2768 0.0268 0.5536
B4 0.7232 0.9732 0.4464
Ni1 0.0518 0.8018 0.1036
Ni2 0.4514 0.7014 0.9029
Ni3 0.9482 0.1982 0.8964
Ni4 0.5486 0.2986 0.0971
Y1 0.1705 0.4205 0.3411
Y2 0.8295 0.5795 0.6589
```

***

The following is a DFT calculation (GGA-PBE) of a geometry-optimized YNi6B6 structure.

Computed properties:
The density of states at the Fermi level comes out at 4.64 states/eV/f.u.

Geometry as CIF:
```
data_YNi6B6
_cell_length_a 4.2333
_cell_length_b 5.6886
_cell_length_c 5.6886
_cell_angle_alpha 80.51
_cell_angle_beta 68.16
_cell_angle_gamma 68.16
_symmetry_space_group_name_H-M 'P 1'
_symmetry_Int_Tables_number 1
loop_
_symmetry_equiv_pos_as_xyz
'x,y,z'
loop_
_atom_site_label
_atom_site_fract_x
_atom_site_fract_y
_atom_site_fract_z
Ni1 0.6506 0.3494 0.3494
Ni2 0.6944 0.8056 0.8056
Ni3 0.0000 0.3417 0.6583
Ni4 0.3494 0.6506 0.6506
Ni5 0.0000 0.6583 0.3417
Ni6 0.3056 0.1944 0.1944
B1 0.5000 0.7573 0.2427
B2 0.5000 0.5000 0.0000
B3 0.5000 0.2427 0.7573
B4 0.5000 0.0000 0.5000
B5 0.0000 0.5000 0.0000
B6 0.0000 0.0000 0.5000
Y1 0.0000 0.0000 0.0000
```

***

The following is a DFT calculation (GGA-PBE) of a geometry-optimized Y3Ni7B2 structure.

Computed properties:
The density of states at the Fermi level comes out at 5.54 states/eV/f.u.

Geometry as CIF:
```
data_Y3Ni7B2
_cell_length_a 5.1012
_cell_length_b 5.1012
_cell_length_c 14.3406
_cell_angle_alpha 90.00
_cell_angle_beta 90.00
_cell_angle_gamma 120.00
_symmetry_space_group_name_H-M 'P 1'
_symmetry_Int_Tables_number 1
loop_
_symmetry_equiv_pos_as_xyz
'x,y,z'
loop_
_atom_site_label
_atom_site_fract_x
_atom_site_fract_y
_atom_site_fract_z
B1 0.0000 0.0000 0.7500
B2 0.0000 0.0000 0.2500
B3 0.3333 0.6667 0.2500
B4 0.6667 0.3333 0.7500
Ni1 0.6691 0.8346 0.3502
Ni2 0.8346 0.1654 0.8502
Ni3 0.1654 0.3309 0.1498
Ni4 0.3309 0.1654 0.8502
Ni5 0.0000 0.0000 0.0000
Ni6 0.8346 0.6691 0.6498
Ni7 0.1654 0.8346 0.3502
Ni8 0.1654 0.8346 0.1498
Ni9 0.8346 0.1654 0.6498
Ni10 0.3309 0.1654 0.6498
Ni11 0.6691 0.8346 0.1498
Ni12 0.0000 0.0000 0.5000
Ni13 0.8346 0.6691 0.8502
Ni14 0.1654 0.3309 0.3502
Y1 0.3333 0.6667 0.5317
Y2 0.6667 0.3333 0.2500
Y3 0.3333 0.6667 0.9683
Y4 0.6667 0.3333 0.0317
Y5 0.3333 0.6667 0.7500
Y6 0.6667 0.3333 0.4683
```

***

The following is a DFT calculation (GGA-PBE) of a geometry-optimized YNi3B3 structure.

Computed properties:
The density of states at the Fermi level comes out at 1.63 states/eV/f.u.

Geometry as CIF:
```
data_YNi3B3
_cell_length_a 3.1785
_cell_length_b 7.6657
_cell_length_c 7.6674
_cell_angle_alpha 119.99
_cell_angle_beta 90.00
_cell_angle_gamma 90.00
_symmetry_space_group_name_H-M 'P 1'
_symmetry_Int_Tables_number 1
loop_
_symmetry_equiv_pos_as_xyz
'x,y,z'
loop_
_atom_site_label
_atom_site_fract_x
_atom_site_fract_y
_atom_site_fract_z
B1 0.2500 0.4065 0.4458
B2 0.7500 0.4458 0.0393
B3 0.7500 0.5935 0.5542
B4 0.2500 0.5542 0.9607
B5 0.2500 0.0393 0.5935
B6 0.7500 0.9607 0.4065
Ni1 0.7500 0.9199 0.6678
Ni2 0.7500 0.3321 0.2521
Ni3 0.2500 0.0801 0.3322
Ni4 0.2500 0.6679 0.7479
Ni5 0.7500 0.7480 0.0801
Ni6 0.2500 0.2520 0.9199
Y1 0.7500 0.3334 0.6667
Y2 0.2500 0.6666 0.3333
```

***

The following is a DFT calculation (GGA-PBE) of a geometry-optimized YNi22B6 structure.

Computed properties:
The density of states at the Fermi level comes out at 27.85 states/eV/f.u.

Geometry as CIF:
```
data_YNi22B6
_cell_length_a 7.4845
_cell_length_b 7.4845
_cell_length_c 7.4845
_cell_angle_alpha 60.00
_cell_angle_beta 60.00
_cell_angle_gamma 60.00
_symmetry_space_group_name_H-M 'P 1'
_symmetry_Int_Tables_number 1
loop_
_symmetry_equiv_pos_as_xyz
'x,y,z'
loop_
_atom_site_label
_atom_site_fract_x
_atom_site_fract_y
_atom_site_fract_z
Ni1 0.3459 0.0000 0.0000
Ni2 0.1479 0.6174 0.6174
Ni3 0.3826 0.3826 0.8521
Ni4 0.0000 0.3459 0.0000
Ni5 0.3459 0.6541 0.0000
Ni6 0.0000 0.0000 0.6541
Ni7 0.6174 0.6174 0.6174
Ni8 0.0000 0.6541 0.0000
Ni9 0.6541 0.0000 0.0000
Ni10 0.0000 0.6541 0.3459
Ni11 0.7500 0.7500 0.7500
Ni12 0.6541 0.0000 0.3459
Ni13 0.2500 0.2500 0.2500
Ni14 0.3826 0.3826 0.3826
Ni15 0.3459 0.0000 0.6541
Ni16 0.6174 0.6174 0.1479
Ni17 0.3826 0.8521 0.3826
Ni18 0.6541 0.3459 0.0000
Ni19 0.8521 0.3826 0.3826
Ni20 0.0000 0.3459 0.6541
Ni21 0.6174 0.1479 0.6174
Ni22 0.0000 0.0000 0.3459
B1 0.7286 0.7286 0.2714
B2 0.2714 0.2714 0.7286
B3 0.2714 0.7286 0.2714
B4 0.2714 0.7286 0.7286
B5 0.7286 0.2714 0.2714
B6 0.7286 0.2714 0.7286
Y1 0.0000 0.0000 0.0000
```

***

The following is a DFT calculation (GGA-PBE) of a geometry-optimized Y3Ni19B10 structure.

Computed properties:
The density of states at the Fermi level comes out at 16.05 states/eV/f.u.

Geometry as CIF:
```
data_Y3Ni19B10
_cell_length_a 7.9019
_cell_length_b 7.9019
_cell_length_c 5.7842
_cell_angle_alpha 88.89
_cell_angle_beta 88.89
_cell_angle_gamma 67.18
_symmetry_space_group_name_H-M 'P 1'
_symmetry_Int_Tables_number 1
loop_
_symmetry_equiv_pos_as_xyz
'x,y,z'
loop_
_atom_site_label
_atom_site_fract_x
_atom_site_fract_y
_atom_site_fract_z
B1 0.6997 0.0643 0.4309
B2 0.0643 0.6997 0.4309
B3 0.6171 0.3829 0.0000
B4 0.3484 0.1427 0.0261
B5 0.8573 0.6516 0.9739
B6 0.1427 0.3484 0.0261
B7 0.3003 0.9357 0.5691
B8 0.6516 0.8573 0.9739
B9 0.9357 0.3003 0.5691
B10 0.3829 0.6171 0.0000
Ni1 0.8174 0.8174 0.2707
Ni2 0.0000 0.0000 0.5000
Ni3 0.7116 0.2292 0.6989
Ni4 0.1627 0.1627 0.2985
Ni5 0.6219 0.1218 0.0744
Ni6 0.9549 0.4820 0.3016
Ni7 0.7708 0.2884 0.3011
Ni8 0.8782 0.3781 0.9256
Ni9 0.1218 0.6219 0.0744
Ni10 0.4820 0.9549 0.3016
Ni11 0.3781 0.8782 0.9256
Ni12 0.5180 0.0451 0.6984
Ni13 0.2884 0.7708 0.3011
Ni14 0.8373 0.8373 0.7015
Ni15 0.3780 0.3780 0.8753
Ni16 0.0451 0.5180 0.6984
Ni17 0.2292 0.7116 0.6989
Ni18 0.1826 0.1826 0.7293
Ni19 0.6220 0.6220 0.1247
Y1 0.3746 0.3746 0.3870
Y2 0.6254 0.6254 0.6130
Y3 0.0000 0.0000 0.0000
```

***

The following is a DFT calculation (GGA-PBE) of a geometry-optimized YNi2B2 structure.

Computed properties:
The density of states at the Fermi level comes out at 4.09 states/eV/f.u.

Geometry as CIF:
```
data_YNi2B2
_cell_length_a 3.5416
_cell_length_b 3.5416
_cell_length_c 5.3022
_cell_angle_alpha 109.51
_cell_angle_beta 109.51
_cell_angle_gamma 90.00
_symmetry_space_group_name_H-M 'P 1'
_symmetry_Int_Tables_number 1
loop_
_symmetry_equiv_pos_as_xyz
'x,y,z'
loop_
_atom_site_label
_atom_site_fract_x
_atom_site_fract_y
_atom_site_fract_z
Ni1 0.2500 0.7500 0.5000
Ni2 0.7500 0.2500 0.5000
B1 0.6304 0.6304 0.2608
B2 0.3696 0.3696 0.7392
Y1 0.0000 0.0000 0.0000
```

***

The following is a DFT calculation (GGA-PBE) of a geometry-optimized Y2ZnNiB structure.

Computed properties:
The density of states at the Fermi level comes out at 2.16 states/eV/f.u.

Geometry as CIF:
```
data_Y2ZnNiB
_cell_length_a 5.0817
_cell_length_b 5.0817
_cell_length_c 3.7788
_cell_angle_alpha 90.00
_cell_angle_beta 90.00
_cell_angle_gamma 90.00
_symmetry_space_group_name_H-M 'P 1'
_symmetry_Int_Tables_number 1
loop_
_symmetry_equiv_pos_as_xyz
'x,y,z'
loop_
_atom_site_label
_atom_site_fract_x
_atom_site_fract_y
_atom_site_fract_z
B1 0.0000 0.0000 0.0000
Ni1 0.0000 0.0000 0.5000
Y1 0.5000 0.0000 0.0000
Y2 0.0000 0.5000 0.0000
Zn1 0.5000 0.5000 0.5000
```

***

The following is a DFT calculation (GGA-PBE) of a geometry-optimized YbNiB4 structure.

Computed properties:
The density of states at the Fermi level comes out at 3.17 states/eV/f.u.

Geometry as CIF:
```
data_YbNiB4
_cell_length_a 3.3637
_cell_length_b 5.9058
_cell_length_c 11.4452
_cell_angle_alpha 90.00
_cell_angle_beta 90.00
_cell_angle_gamma 90.00
_symmetry_space_group_name_H-M 'P 1'
_symmetry_Int_Tables_number 1
loop_
_symmetry_equiv_pos_as_xyz
'x,y,z'
loop_
_atom_site_label
_atom_site_fract_x
_atom_site_fract_y
_atom_site_fract_z
B1 0.5000 0.5223 0.8087
B2 0.5000 0.9777 0.3087
B3 0.5000 0.7164 0.6844
B4 0.5000 0.3621 0.4675
B5 0.5000 0.6379 0.5325
B6 0.5000 0.4777 0.1913
B7 0.5000 0.3873 0.0471
B8 0.5000 0.7836 0.1844
B9 0.5000 0.1127 0.5471
B10 0.5000 0.6127 0.9529
B11 0.5000 0.8873 0.4529
B12 0.5000 0.2164 0.8156
B13 0.5000 0.0223 0.6913
B14 0.5000 0.8621 0.0325
B15 0.5000 0.2836 0.3156
B16 0.5000 0.1379 0.9675
Yb1 0.0000 0.6275 0.3496
Yb2 0.0000 0.3725 0.6504
Yb3 0.0000 0.8725 0.8496
Yb4 0.0000 0.1275 0.1504
Ni1 0.0000 0.8660 0.5879
Ni2 0.0000 0.6340 0.0879
Ni3 0.0000 0.1340 0.4121
Ni4 0.0000 0.3660 0.9121
```

***

The following is a DFT calculation (GGA-PBE) of a geometry-optimized Yb3Ni13B2 structure.

Computed properties:
The density of states at the Fermi level comes out at 51.74 states/eV/f.u.

Geometry as CIF:
```
data_Yb3Ni13B2
_cell_length_a 4.9798
_cell_length_b 4.9798
_cell_length_c 10.8160
_cell_angle_alpha 90.00
_cell_angle_beta 90.00
_cell_angle_gamma 120.00
_symmetry_space_group_name_H-M 'P 1'
_symmetry_Int_Tables_number 1
loop_
_symmetry_equiv_pos_as_xyz
'x,y,z'
loop_
_atom_site_label
_atom_site_fract_x
_atom_site_fract_y
_atom_site_fract_z
Ni1 0.6667 0.3333 0.3191
Ni2 0.3333 0.6667 0.3191
Ni3 0.6667 0.3333 0.6809
Ni4 0.5000 0.0000 0.8676
Ni5 0.0000 0.5000 0.5000
Ni6 0.5000 0.0000 0.1324
Ni7 0.5000 0.5000 0.1324
Ni8 0.5000 0.5000 0.8676
Ni9 0.5000 0.0000 0.5000
Ni10 0.3333 0.6667 0.6809
Ni11 0.5000 0.5000 0.5000
Ni12 0.0000 0.5000 0.1324
Ni13 0.0000 0.5000 0.8676
B1 0.3333 0.6667 0.0000
B2 0.6667 0.3333 0.0000
Yb1 0.0000 0.0000 0.0000
Yb2 0.0000 0.0000 0.6725
Yb3 0.0000 0.0000 0.3275
```

***

no.,ΔE_f (eV/atom)
1,-0.43
2,-0.07
3,-0.42
4,-0.03
5,-0.49
6,-0.15
7,-0.19
8,-0.43
9,-0.43
10,-0.28
11,-0.43
12,-0.31